Here is a geometry-optimized CsReWS2 structure from Alexandria. Energies are from PBE.

Summary:
Total moment = 10.23 μB per cell
Formation energy (no corrections) = 1652 kJ/mol of formula units
Symmetry = No. 123
Density of states at the Fermi level = 0.788 states/eV per atom
Energy = -3.478 eV/atom

```
5
Lattice="5.491 0.000 0.000 0.000 5.491 0.000 0.000 0.000 5.815" Properties=species:S:1:pos:R:3 pbc="T T T"
Cs 0.000 0.000 0.000
Re 2.746 2.746 2.907
W 0.000 0.000 2.907
S 0.000 2.746 0.000
S 2.746 0.000 0.000
```